Computed, not measured: Zr5Ta3H12 after structural relaxation at the GGA-PBE level of DFT.

Properties
Raw total energy in eV/f.u.: -124.4
Space group: Ia-3d, No. 230
Size of the total moment in μB per formula unit: 0.00

a b c (Å): 10.096 10.096 10.096
angles (deg): 109.47 109.47 109.47
Fractional positions:
Ta 0.750 0.375 0.125
Ta 0.875 0.750 0.125
Ta 0.375 0.750 0.625
Ta 0.250 0.125 0.375
Ta 0.875 0.125 0.250
Ta 0.375 0.625 0.250
Ta 0.625 0.375 0.750
Ta 0.125 0.875 0.750
Ta 0.750 0.875 0.625
Ta 0.625 0.250 0.375
Ta 0.125 0.250 0.875
Ta 0.250 0.625 0.875
Zr 0.125 0.375 0.250
Zr 0.000 0.500 0.000
Zr 0.000 0.000 0.000
Zr 0.375 0.250 0.125
Zr 0.500 0.000 0.500
Zr 0.500 0.500 0.000
Zr 0.125 0.750 0.375
Zr 0.750 0.125 0.875
Zr 0.750 0.625 0.375
Zr 0.375 0.125 0.750
Zr 0.625 0.875 0.250
Zr 0.500 0.500 0.500
Zr 0.500 0.000 0.000
Zr 0.000 0.000 0.500
Zr 0.250 0.375 0.625
Zr 0.250 0.875 0.125
Zr 0.000 0.500 0.500
Zr 0.875 0.250 0.625
Zr 0.625 0.750 0.875
Zr 0.875 0.625 0.750
H 0.732 0.157 0.077
H 0.345 0.577 0.419
H 0.923 0.343 0.268
H 0.577 0.232 0.157
H 0.574 0.732 0.655
H 0.923 0.581 0.155
H 0.345 0.768 0.426
H 0.081 0.926 0.157
H 0.581 0.923 0.655
H 0.732 0.574 0.155
H 0.768 0.423 0.343
H 0.845 0.919 0.077
H 0.157 0.732 0.577
H 0.343 0.419 0.074
H 0.074 0.919 0.343
H 0.426 0.157 0.581
H 0.074 0.155 0.232
H 0.423 0.655 0.081
H 0.845 0.926 0.268
H 0.157 0.426 0.081
H 0.343 0.923 0.768
H 0.581 0.657 0.426
H 0.919 0.845 0.577
H 0.768 0.345 0.926
H 0.419 0.343 0.574
H 0.081 0.155 0.423
H 0.232 0.655 0.074
H 0.155 0.074 0.732
H 0.657 0.077 0.232
H 0.843 0.574 0.919
H 0.577 0.345 0.919
H 0.574 0.843 0.419
H 0.926 0.845 0.768
H 0.926 0.081 0.657
H 0.843 0.268 0.423
H 0.155 0.081 0.923
H 0.657 0.581 0.926
H 0.419 0.077 0.345
H 0.268 0.426 0.845
H 0.232 0.577 0.657
H 0.919 0.074 0.843
H 0.655 0.232 0.574
H 0.423 0.768 0.843
H 0.077 0.419 0.845
H 0.426 0.268 0.345
H 0.077 0.657 0.732
H 0.655 0.423 0.581
H 0.268 0.843 0.923